Entry from Alexandria via LeMat-Bulk: a geometry-optimized Sm4Dy5Zr structure (PBE).

Summary:
The energy of formation from the pure elements comes out at 0.13 eV/atom. For the total energy, the calculation gives -4.909 eV/atom.

Structure (CIF):
```
data_Sm4Dy5Zr
_cell_length_a 17.6711
_cell_length_b 3.4503
_cell_length_c 10.8567
_cell_angle_alpha 90.00
_cell_angle_beta 106.91
_cell_angle_gamma 90.00
_space_group_name_H-M_alt 'C 1 2/m 1'
_space_group_IT_number 12
loop_
_space_group_symop_operation_xyz
'x,y,z'
'-x,-y,-z'
'-x,y,-z'
'x,-y,z'
'x+1/2,y+1/2,z'
'-x+1/2,-y+1/2,-z'
'-x+1/2,y+1/2,-z'
'x+1/2,-y+1/2,z'
loop_
_atom_site_label
_atom_site_type_symbol
_atom_site_fract_x
_atom_site_fract_y
_atom_site_fract_z
_atom_site_occupancy
Sm1 Sm 0.1035 0.0000 0.2829 1
Sm2 Sm 0.1934 0.5000 0.0816 1
Dy1 Dy 0.0000 0.5000 0.5000 1
Dy2 Dy 0.0896 0.0000 0.8102 1
Dy3 Dy 0.2044 0.0000 0.5977 1
Zr1 Zr 0.0000 0.5000 0.0000 1
```